Compound: PuSc5S6
Source: Alexandria via LeMat-Bulk
Functional: GGA-PBE
Structure: relaxed

Computed properties:
* E_form (uncorrected): -1.858 eV/atom
* SG: C2/m, No. 12
* M_tot: 5.9 μB/f.u.
* calculated density: 4.97 g cm⁻³

The structure in POSCAR format:
```
PuSc5S6
1.0
-0.146 -6.223 1.790
5.850 -1.786 2.079
1.541 0.638 6.248
Sc S Pu
5 6 1
Direct
0.500 0.166 0.669
0.000 0.332 0.336
0.500 0.500 0.000
0.000 0.668 0.664
0.500 0.834 0.331
0.743 0.086 0.343
0.257 0.571 0.343
0.255 0.259 0.000
0.745 0.741 0.000
0.743 0.429 0.657
0.257 0.914 0.657
0.000 0.000 0.000
```